Entry 1:
## YAg2Ir2 (PBE)

Data for an optimized crystal structure of YAg2Ir2.

Cell and atoms, written as POSCAR:
```
YAg2Ir2
1.0
3.829 0.000 0.000
0.000 3.829 0.000
1.915 1.915 6.594
Ir Y Ag
2 1 2
Cartesian
1.915 3.829 3.297
3.829 1.915 3.297
0.000 0.000 0.000
3.829 3.829 5.265
1.915 1.915 1.329
```

Values from the calculation:
symmetry	I4/mmm (139)
calculated total energy	-5.79	eV/atom
energy above the lowest structure with this stoichiometry	205	meV per atom

***

Entry 2:
## Y2AgIr (PBE)

Data for an optimized crystal structure of Y2AgIr.

Cell and atoms, written as POSCAR:
```
Y2AgIr
1.0
-4.252 -0.386 -2.488
-0.262 -3.442 0.982
-2.492 1.345 4.050
Ir Ag Y
1 1 2
Cartesian
-4.470 -1.168 2.913
-1.098 -1.646 2.132
-2.213 0.747 3.667
-3.094 -0.118 0.398
```

Values from the calculation:
symmetry	P4/mmm (123)
calculated total energy	-6.72	eV/atom